Record 1
The following is a PBE calculation of TbPm12Rh7 after structural relaxation, from the Alexandria database.

Summary:
DOS at the Fermi energy: 52.005 states/eV/cell
calculated formation energy: -487 meV per atom
VASP energy: -6.1415 eV per atom

abc: 14.3912 14.3912 9.9564
angles: 90.00 90.00 120.00
Space group R-3 (No. 148, hexagonal axes)
Inequivalent atoms, fractional coordinates:
Tb: 0.0000 0.0000 0.0000
Pm: 0.0281 0.5882 0.6638
Pm: 0.0479 0.1764 0.3330
Rh: 0.0000 0.0000 0.5000
Rh: 0.0490 0.1824 0.8299

Record 2
The following is a PBE calculation of CeMgAl2Pt4 after structural relaxation, from the Alexandria database.

Summary:
DOS at the Fermi energy: 12.069 states/eV/cell
calculated formation energy: -1019 meV per atom
VASP energy: -5.9161 eV per atom

abc: 4.3122 4.3122 26.1557
angles: 90.00 90.00 120.00
Space group R-3m (No. 166, hexagonal axes)
Inequivalent atoms, fractional coordinates:
Ce: 0.0000 0.0000 0.0000
Mg: 0.0000 0.0000 0.5000
Al: 0.0000 0.0000 0.2383
Pt: 0.0000 0.0000 0.1315
Pt: 0.0000 0.0000 0.3996

Record 3
The following is a PBE calculation of ReTeW2 after structural relaxation, from the Alexandria database.

Summary:
DOS at the Fermi energy: 2.867 states/eV/cell
uncorrected formation energy: 0.684 eV per atom
VASP energy: -9.6905 eV per atom

abc: 3.179 4.612 4.626
angles: 90.00 90.00 90.00
Space group Pmmm (No. 47)
Inequivalent atoms, fractional coordinates:
Re: 0.000 0.000 0.000
Te: 0.500 0.000 0.500
W: 0.000 0.500 0.500
W: 0.500 0.500 0.000

Record 4
The following is a PBE calculation of La2Mg3Ag2 after structural relaxation, from the Alexandria database.

Summary:
DOS at the Fermi energy: 10.637 states/eV/cell
calculated formation energy: -195 meV per atom
VASP energy: -3.1005 eV per atom
offset from the most stable computed form: 0.052 eV/atom

abc: 10.853 4.486 7.654
angles: 90.00 94.95 90.00
Space group C2/m (No. 12)
Inequivalent atoms, fractional coordinates:
La: 0.127 0.000 0.342
Mg: 0.000 0.500 0.000
Mg: 0.180 0.000 0.870
Ag: 0.085 0.500 0.657

Record 5
The following is a PBE calculation of ScAuO3 after structural relaxation, from the Alexandria database.

Summary:
DOS at the Fermi energy: 2.177 states/eV/cell
uncorrected formation energy: -0.594 eV per atom
VASP energy: -5.4906 eV per atom

abc: 4.043 4.043 4.043
angles: 90.00 90.00 90.00
Space group Pm-3m (No. 221)
Inequivalent atoms, fractional coordinates:
Sc: 0.000 0.000 0.000
Au: 0.500 0.500 0.500
O: 0.000 0.500 0.500

Record 6
The following is a PBE calculation of La5NiAg2 after structural relaxation, from the Alexandria database.

Summary:
DOS at the Fermi energy: 22.978 states/eV/cell
calculated formation energy: -194 meV per atom
VASP energy: -4.7091 eV per atom

abc: 9.512 12.538 4.090
angles: 90.00 90.00 90.00
Space group Pbam (No. 55)
Inequivalent atoms, fractional coordinates:
La: 0.000 0.000 0.000
La: 0.145 0.295 0.000
La: 0.177 0.569 0.500
Ni: 0.000 0.500 0.000
Ag: 0.079 0.821 0.500